## Cs2Li2CeO4 (PBE-GGA)

Data for an optimized crystal structure of Cs2Li2CeO4.

Computed properties:
* uncorrected formation energy: -2.168 eV per atom
* electronic total energy: -5.645 eV/atom

POSCAR file:
```
Cs2Li2CeO4
1.0
6.454 -1.822 0.000
6.454 1.822 0.000
-2.390 0.000 6.595
Cs Li Ce O
2 2 1 4
Direct
0.146 0.146 0.083
0.854 0.854 0.917
0.320 0.320 0.517
0.680 0.680 0.483
0.000 0.000 0.500
0.186 0.186 0.609
0.481 0.481 0.693
0.519 0.519 0.307
0.814 0.814 0.391
```